Record 1
A plane-wave DFT calculation with GGA-PBE was carried out for a relaxed LiCuPO4 crystal.

Summary:
Energy above the lowest structure with this stoichiometry ... 21 meV/atom
Formation energy (no corrections) ... -1.7847 eV/atom

a = 4.9264 Å, b = 8.4900 Å, c = 8.8403 Å
α = 70.64°, β = 90.00°, γ = 90.00°
With the nearest neighbours (Å) after each atom.
Fractional positions:
Li 0.1624 0.6160 0.0057  4 O 1.96-2.02
Li 0.3208 0.2493 0.5013  4 O 1.95-2.02
Li 0.6792 0.7493 0.5013  4 O 1.95-2.02
Li 0.8376 0.1160 0.0057  4 O 1.96-2.02
O 0.6811 0.5173 0.6432  1 P 1.56
O 0.7837 0.8884 0.9856  1 P 1.56
O 0.2053 0.2692 0.2837  1 P 1.55
O 0.2873 0.7076 0.7826  1 P 1.56
O 0.7947 0.7692 0.2837  1 P 1.55
O 0.1975 0.0776 0.1109  1 P 1.55
O 0.3189 0.0173 0.6432  1 P 1.56
O 0.2851 0.8177 0.4830  1 P 1.55
O 0.1275 0.3721 0.6295  1 P 1.55
O 0.8725 0.8721 0.6295  1 P 1.55
O 0.8025 0.5776 0.1109  1 P 1.55
O 0.2163 0.3884 0.9856  1 P 1.56
O 0.7149 0.3177 0.4830  1 P 1.55
O 0.3697 0.7236 0.1392  1 P 1.56
O 0.6303 0.2236 0.1392  1 P 1.56
O 0.7127 0.2076 0.7826  1 P 1.56
Cu 0.6514 0.9725 0.7678  4 O 1.93-2.07
Cu 0.1930 0.8500 0.2625  4 O 1.93-2.07
Cu 0.8070 0.3500 0.2625  4 O 1.93-2.07
Cu 0.3486 0.4725 0.7678  4 O 1.93-2.07
P 0.8147 0.3537 0.6348  4 O 1.55-1.56
P 0.1853 0.8537 0.6348  4 O 1.55-1.56
P 0.3157 0.2387 0.1314  4 O 1.55-1.56
P 0.6843 0.7387 0.1314  4 O 1.55-1.56

Record 2
A plane-wave DFT calculation with GGA-PBE was carried out for a relaxed KInFe2 crystal.

Summary:
ΔH_f (0 K) ... 1.04 eV per atom

a = 2.9503 Å, b = 5.4264 Å, c = 5.0777 Å
α = 90.00°, β = 90.00°, γ = 90.00°
With the nearest neighbours (Å) after each atom.
Fractional positions:
K 0.0000 0.5000 0.5000  4 Fe 2.94, 2 K 2.95, 4 In 3.09
Fe 0.0000 0.0000 0.0000  4 In 2.94, 6 Fe 2.95-3.09
Fe 0.5000 0.5000 0.0000  4 K 2.94, 6 Fe 2.95-3.09
In 0.5000 0.0000 0.5000  4 Fe 2.94, 2 In 2.95, 4 K 3.09

Computed total DFT energy (no corrections), in the same sequence as the records: -6.249; -4.148 eV per atom.
Computed Fermi-level density of states, in the same sequence as the records: 9.36; 5.44 states/eV/cell.